DFT (PBE) results for a relaxed TeMoRh2 crystal.

Results
Formation energy (no corrections)   40 kJ/mol of formula units
Crystal system   tetragonal

```
data_TeMoRh2
_space_group_name_H-M_alt 'I 4/m m m'
_space_group_IT_number 139
_space_group_name_Hall '-I 4 2'
_cell_length_a 3.990
_cell_length_b 3.990
_cell_length_c 8.118
_cell_angle_alpha 90.00
_cell_angle_beta 90.00
_cell_angle_gamma 90.00
loop_
_atom_site_label
_atom_site_type_symbol
_atom_site_fract_x
_atom_site_fract_y
_atom_site_fract_z
_atom_site_occupancy
Te1 Te 0.000 0.000 0.000 1
Mo1 Mo 0.000 0.000 0.500 1
Rh1 Rh 0.000 0.500 0.250 1
```

***

DFT (PBE) results for a relaxed Ta3GaO crystal.

Results
Formation energy (no corrections)   -247 kJ/mol of formula units
Crystal system   cubic

```
data_Ta3GaO
_space_group_name_H-M_alt 'P m -3 m'
_space_group_IT_number 221
_space_group_name_Hall '-P 4 2 3'
_cell_length_a 4.238
_cell_length_b 4.238
_cell_length_c 4.238
_cell_angle_alpha 90.00
_cell_angle_beta 90.00
_cell_angle_gamma 90.00
loop_
_atom_site_label
_atom_site_type_symbol
_atom_site_fract_x
_atom_site_fract_y
_atom_site_fract_z
_atom_site_occupancy
Ta1 Ta 0.000 0.000 0.500 1
Ga1 Ga 0.500 0.500 0.500 1
O1 O 0.000 0.000 0.000 1
```

***

DFT (PBE) results for a relaxed AgSe2S2 crystal.

Results
Energy relative to the lowest polymorph listed for this composition   225 meV per atom
Formation energy (no corrections)   147 kJ/mol of formula units
Crystal system   tetragonal

```
data_AgSe2S2
_space_group_name_H-M_alt 'P 4/m b m'
_space_group_IT_number 127
_space_group_name_Hall '-P 4 2ab'
_cell_length_a 7.877
_cell_length_b 7.877
_cell_length_c 4.010
_cell_angle_alpha 90.00
_cell_angle_beta 90.00
_cell_angle_gamma 90.00
loop_
_atom_site_label
_atom_site_type_symbol
_atom_site_fract_x
_atom_site_fract_y
_atom_site_fract_z
_atom_site_occupancy
Ag1 Ag 0.000 0.000 0.000 1
Se1 Se 0.240 0.260 0.000 1
S1 S 0.154 0.654 0.500 1
```

***

DFT (PBE) results for a relaxed BeCO2F crystal.

Results
Formation energy (no corrections)   166 kJ/mol of formula units
Crystal system   tetragonal

```
data_BeCO2F
_space_group_name_H-M_alt 'P 4/m m m'
_space_group_IT_number 123
_space_group_name_Hall '-P 4 2'
_cell_length_a 3.593
_cell_length_b 3.593
_cell_length_c 3.204
_cell_angle_alpha 90.00
_cell_angle_beta 90.00
_cell_angle_gamma 90.00
loop_
_atom_site_label
_atom_site_type_symbol
_atom_site_fract_x
_atom_site_fract_y
_atom_site_fract_z
_atom_site_occupancy
Be1 Be 0.000 0.000 0.000 1
C1 C 0.500 0.500 0.500 1
O1 O 0.000 0.500 0.000 1
F1 F 0.000 0.000 0.500 1
```

***

DFT (PBE) results for a relaxed Pu3FeAg3Se8 crystal.

Results
Formation energy (no corrections)   -1045 kJ/mol of formula units
Crystal system   trigonal

```
data_Pu3FeAg3Se8
_space_group_name_H-M_alt 'R -3 m'
_space_group_IT_number 166
_space_group_name_Hall '-R 3 2"'
_cell_length_a 8.2406
_cell_length_b 8.2406
_cell_length_c 19.1346
_cell_angle_alpha 90.00
_cell_angle_beta 90.00
_cell_angle_gamma 120.00
loop_
_atom_site_label
_atom_site_type_symbol
_atom_site_fract_x
_atom_site_fract_y
_atom_site_fract_z
_atom_site_occupancy
Pu1 Pu 0.0000 0.5000 0.0000 1
Fe1 Fe 0.0000 0.0000 0.0000 1
Ag1 Ag 0.0000 0.5000 0.5000 1
Se1 Se 0.0000 0.0000 0.2507 1
Se2 Se 0.0281 0.5141 0.7426 1
```

***

DFT (PBE) results for a relaxed ZnCuBi2Rh crystal.

Results
Formation energy from the elements   0.815 eV per atom
Crystal system   tetragonal

```
data_ZnCuBi2Rh
_space_group_name_H-M_alt 'P 4/m m m'
_space_group_IT_number 123
_space_group_name_Hall '-P 4 2'
_cell_length_a 5.240
_cell_length_b 5.240
_cell_length_c 4.654
_cell_angle_alpha 90.00
_cell_angle_beta 90.00
_cell_angle_gamma 90.00
loop_
_atom_site_label
_atom_site_type_symbol
_atom_site_fract_x
_atom_site_fract_y
_atom_site_fract_z
_atom_site_occupancy
Zn1 Zn 0.000 0.000 0.000 1
Cu1 Cu 0.500 0.500 0.500 1
Bi1 Bi 0.000 0.500 0.000 1
Rh1 Rh 0.000 0.000 0.500 1
```

***

DFT (PBE) results for a relaxed Co2AsPb crystal.

Results
Formation energy from the elements   0.336 eV per atom
Energy relative to the lowest polymorph listed for this composition   221 meV per atom
Crystal system   tetragonal

```
data_Co2AsPb
_space_group_name_H-M_alt 'I -4 2 d'
_space_group_IT_number 122
_space_group_name_Hall 'I -4 2bw'
_cell_length_a 4.414
_cell_length_b 4.414
_cell_length_c 15.596
_cell_angle_alpha 90.00
_cell_angle_beta 90.00
_cell_angle_gamma 90.00
loop_
_atom_site_label
_atom_site_type_symbol
_atom_site_fract_x
_atom_site_fract_y
_atom_site_fract_z
_atom_site_occupancy
Co1 Co 0.118 0.250 0.125 1
As1 As 0.000 0.000 0.000 1
Pb1 Pb 0.000 0.000 0.500 1
```

***

DFT (PBE) results for a relaxed Sc2Zn3Pd4 crystal.

Results
Formation energy from the elements   -0.643 eV per atom
Energy relative to the lowest polymorph listed for this composition   70 meV per atom
Crystal system   orthorhombic

```
data_Sc2Zn3Pd4
_space_group_name_H-M_alt 'C m c e'
_space_group_IT_number 64
_space_group_name_Hall '-C 2ac 2'
_cell_length_a 5.451
_cell_length_b 14.539
_cell_length_c 7.610
_cell_angle_alpha 90.00
_cell_angle_beta 90.00
_cell_angle_gamma 90.00
loop_
_atom_site_label
_atom_site_type_symbol
_atom_site_fract_x
_atom_site_fract_y
_atom_site_fract_z
_atom_site_occupancy
Sc1 Sc 0.000 0.110 0.081 1
Zn1 Zn 0.000 0.000 0.500 1
Zn2 Zn 0.250 0.230 0.750 1
Pd1 Pd 0.000 0.177 0.476 1
Pd2 Pd 0.250 0.055 0.750 1
```

***

DFT (PBE) results for a relaxed ZnRe3Pt crystal.

Results
Formation energy from the elements   2.481 eV per atom
Energy relative to the lowest polymorph listed for this composition   492 meV per atom
Crystal system   cubic

```
data_ZnRe3Pt
_space_group_name_H-M_alt 'P m -3 m'
_space_group_IT_number 221
_space_group_name_Hall '-P 4 2 3'
_cell_length_a 4.760
_cell_length_b 4.760
_cell_length_c 4.760
_cell_angle_alpha 90.00
_cell_angle_beta 90.00
_cell_angle_gamma 90.00
loop_
_atom_site_label
_atom_site_type_symbol
_atom_site_fract_x
_atom_site_fract_y
_atom_site_fract_z
_atom_site_occupancy
Zn1 Zn 0.000 0.000 0.000 1
Re1 Re 0.000 0.500 0.500 1
Pt1 Pt 0.500 0.500 0.500 1
```

***

DFT (PBE) results for a relaxed LuSeCl crystal.

Results
Formation energy (no corrections)   -470 kJ/mol of formula units
Crystal system   tetragonal

```
data_LuSeCl
_space_group_name_H-M_alt 'I 4 m m'
_space_group_IT_number 107
_space_group_name_Hall 'I 4 -2'
_cell_length_a 3.469
_cell_length_b 3.469
_cell_length_c 13.858
_cell_angle_alpha 90.00
_cell_angle_beta 90.00
_cell_angle_gamma 90.00
loop_
_atom_site_label
_atom_site_type_symbol
_atom_site_fract_x
_atom_site_fract_y
_atom_site_fract_z
_atom_site_occupancy
Lu1 Lu 0.000 0.000 0.000 1
Se1 Se 0.000 0.000 0.398 1
Cl1 Cl 0.000 0.000 0.628 1
```

***

DFT (PBE) results for a relaxed NdGa4Cu2 crystal.

Results
Formation energy from the elements   -0.293 eV per atom
Energy relative to the lowest polymorph listed for this composition   80 meV per atom
Crystal system   orthorhombic

```
data_NdGa4Cu2
_space_group_name_H-M_alt 'C m m m'
_space_group_IT_number 65
_space_group_name_Hall '-C 2 2'
_cell_length_a 4.412
_cell_length_b 13.260
_cell_length_c 4.323
_cell_angle_alpha 90.00
_cell_angle_beta 90.00
_cell_angle_gamma 90.00
loop_
_atom_site_label
_atom_site_type_symbol
_atom_site_fract_x
_atom_site_fract_y
_atom_site_fract_z
_atom_site_occupancy
Nd1 Nd 0.000 0.000 0.000 1
Ga1 Ga 0.000 0.179 0.500 1
Ga2 Ga 0.000 0.316 0.000 1
Cu1 Cu 0.000 0.409 0.500 1
```

***

DFT (PBE) results for a relaxed MnCuSi crystal.

Results
Formation energy (no corrections)   20 kJ/mol of formula units
Crystal system   cubic

```
data_MnCuSi
_space_group_name_H-M_alt 'F -4 3 m'
_space_group_IT_number 216
_space_group_name_Hall 'F -4 2 3'
_cell_length_a 5.579
_cell_length_b 5.579
_cell_length_c 5.579
_cell_angle_alpha 90.00
_cell_angle_beta 90.00
_cell_angle_gamma 90.00
loop_
_atom_site_label
_atom_site_type_symbol
_atom_site_fract_x
_atom_site_fract_y
_atom_site_fract_z
_atom_site_occupancy
Mn1 Mn 0.000 0.000 0.000 1
Cu1 Cu 0.000 0.000 0.500 1
Si1 Si 0.250 0.250 0.250 1
```